No. 1
Entry from Alexandria via LeMat-Bulk: crystalline ZrSiOs at its relaxed geometry (PBE).

Size of the total moment   0.000 μB/cell
ΔE_f (raw)   -0.0629 eV/atom
Space-group type   P3m1, No. 156

The structure in POSCAR format:
```
ZrSiOs
1.0
3.009 0.000 0.000
-1.505 2.606 0.000
0.000 0.000 6.400
Os Si Zr
1 1 1
direct
0.000 0.000 0.032
0.667 0.333 0.304
0.333 0.667 0.665
```

***

No. 2
Entry from Alexandria via LeMat-Bulk: crystalline SmOs4 at its relaxed geometry (PBE).

Size of the total moment   1.602 μB/cell
Space-group type   Pm-3m, No. 221

The structure in POSCAR format:
```
SmOs4
1.0
-1.399 -4.085 2.070
3.831 0.142 2.869
-2.509 2.494 3.227
Os Sm
4 1
direct
0.000 0.500 0.500
0.500 0.000 0.500
0.500 0.500 0.000
0.000 0.000 0.000
0.500 0.500 0.500
```

***

no.,total energy (eV per atom)
1,-8.4632
2,-6.2934